1.
First-principles (GGA-PBE) data for PmGaBr2 after structural relaxation, as listed in Alexandria.

a = 4.0642 Å, b = 4.0642 Å, c = 29.0886 Å
α = 90.00°, β = 90.00°, γ = 120.00°
Space group R-3m (No. 166, hexagonal axes)
Inequivalent atoms, fractional coordinates:
Pm1 0.0000 0.0000 0.0000
Ga1 0.0000 0.0000 0.5000
Br1 0.0000 0.0000 0.0980

Properties
raw total energy = -3.454 eV/atom

***

2.
First-principles (GGA-PBE) data for Pm2GaBr after structural relaxation, as listed in Alexandria.

a = 3.8147 Å, b = 3.8147 Å, c = 26.0155 Å
α = 90.00°, β = 90.00°, γ = 120.00°
Space group R3m (No. 160, hexagonal axes)
Inequivalent atoms, fractional coordinates:
Pm1 0.0000 0.0000 0.0000
Pm2 0.0000 0.0000 0.1764
Ga1 0.0000 0.0000 0.5884
Br1 0.0000 0.0000 0.4205

Properties
polymorph energy (0 for the lowest one) = 0.0350 eV/atom
raw total energy = -4.408 eV/atom

***

3.
First-principles (GGA-PBE) data for PmGaBr6 after structural relaxation, as listed in Alexandria.

a = 6.8052 Å, b = 13.1106 Å, c = 6.7952 Å
α = 90.00°, β = 107.27°, γ = 90.00°
Space group C2/m (No. 12)
Inequivalent atoms, fractional coordinates:
Pm1 0.0000 0.0000 0.0000
Ga1 0.0000 0.5000 0.5000
Br1 0.2183 0.3591 0.7216
Br2 0.2434 0.5000 0.2609

Properties
raw total energy = -3.437 eV/atom